Density functional theory data (GGA-PBE) for a relaxed structure of PmSmGaAu.

Calculated values
SG	Amm2
N(E_F)	3.86	states/eV/cell
excess energy over the best structure of this formula in the dataset	0.0000	eV/atom
magnetization	0.00	μB per formula unit

```
PmSmGaAu
1.0
4.585 0.000 0.000
0.000 1.974 5.680
0.000 -1.974 5.680
Pm Sm Ga Au
1 1 1 1
direct
0.000 0.000 0.000
0.500 0.716 0.716
0.000 0.276 0.276
0.500 0.435 0.435
```



Density functional theory data (GGA-PBE) for a relaxed structure of LiLaEuTl.

Calculated values
SG	F-43m
N(E_F)	11.70	states/eV/cell
magnetization	7.30	μB per formula unit
raw total energy	-5.085	eV per atom

```
LiLaEuTl
1.0
0.000 3.947 3.947
3.947 0.000 3.947
3.947 3.947 0.000
Li La Eu Tl
1 1 1 1
direct
0.000 0.000 0.000
0.750 0.750 0.750
0.250 0.250 0.250
0.500 0.500 0.500
```



Density functional theory data (GGA-PBE) for a relaxed structure of Mg2In2Te.

Calculated values
SG	P4/mbm
N(E_F)	6.03	states/eV/cell
ΔE_f (raw)	-0.12	eV/atom
excess energy over the best structure of this formula in the dataset	0.0000	eV/atom
magnetization	0.00	μB per formula unit

```
Mg2In2Te
1.0
7.685 0.000 0.000
0.000 7.685 0.000
0.000 0.000 4.602
Mg In Te
4 4 2
direct
0.143 0.357 0.000
0.357 0.857 0.000
0.643 0.143 0.000
0.857 0.643 0.000
0.151 0.651 0.500
0.349 0.151 0.500
0.651 0.849 0.500
0.849 0.349 0.500
0.000 0.000 0.000
0.500 0.500 0.000
```



Density functional theory data (GGA-PBE) for a relaxed structure of Sr4ZnSi3.

Calculated values
SG	Pmm2
N(E_F)	3.97	states/eV/cell
ΔE_f (raw)	-0.39	eV/atom
magnetization	0.00	μB per formula unit

```
Sr4ZnSi3
1.0
4.191 0.000 0.000
0.000 4.722 0.000
0.000 0.000 11.713
Sr Zn Si
4 1 3
direct
0.000 0.000 0.000
0.000 0.500 0.489
0.500 0.000 0.715
0.500 0.500 0.216
0.000 0.500 0.802
0.000 0.000 0.293
0.500 0.000 0.415
0.500 0.500 0.925
```



Density functional theory data (GGA-PBE) for a relaxed structure of CrHg2P.

Calculated values
SG	I-4m2
N(E_F)	2.19	states/eV/cell
magnetization	3.96	μB per formula unit
raw total energy	-3.400	eV per atom

```
CrHg2P
1.0
-2.113 2.113 4.362
2.113 -2.113 4.362
2.113 2.113 -4.362
Cr Hg P
1 2 1
direct
0.000 0.000 0.000
0.250 0.750 0.500
0.500 0.500 0.000
0.750 0.250 0.500
```



Density functional theory data (GGA-PBE) for a relaxed structure of Al2CuNi3.

Calculated values
SG	P4/mmm
N(E_F)	3.28	states/eV/cell
excess energy over the best structure of this formula in the dataset	0.0000	eV/atom
magnetization	0.00	μB per formula unit

```
Al2CuNi3
1.0
2.952 0.000 0.000
0.000 2.952 0.000
0.000 0.000 8.140
Al Cu Ni
2 1 3
direct
0.000 0.000 0.174
0.000 0.000 0.826
0.000 0.000 0.500
0.500 0.500 0.000
0.500 0.500 0.333
0.500 0.500 0.667
```



Density functional theory data (GGA-PBE) for a relaxed structure of SrCa2Al.

Calculated values
SG	C2/m
N(E_F)	4.57	states/eV/cell
magnetization	0.00	μB per formula unit
raw total energy	-2.224	eV per atom

```
SrCa2Al
1.0
3.556 -6.077 0.000
3.556 6.077 0.000
-1.731 0.000 3.325
Sr Ca Al
1 2 1
direct
0.000 0.000 0.000
0.000 0.500 0.500
0.500 0.000 0.500
0.500 0.500 0.000
```



Density functional theory data (GGA-PBE) for a relaxed structure of SrMgMn2B.

Calculated values
SG	P4/mmm
N(E_F)	4.27	states/eV/cell
magnetization	7.85	μB per formula unit
raw total energy	-3.596	eV per atom

```
SrMgMn2B
1.0
5.402 0.000 0.000
0.000 5.402 0.000
0.000 0.000 4.802
Sr Mg Mn B
1 1 2 1
direct
0.000 0.000 0.000
0.500 0.500 0.500
0.000 0.500 0.000
0.500 0.000 0.000
0.000 0.000 0.500
```



Number 6 is which compound?
Al2CuNi3



The highest magnetization belongs to which entry?
SrMgMn2B